1.
A plane-wave DFT calculation with PBE was carried out for a relaxed structure of Ba2Ac4N.

CIF file:
```
data_Ba2Ac4N
_cell_length_a 5.627
_cell_length_b 5.627
_cell_length_c 19.820
_cell_angle_alpha 90.00
_cell_angle_beta 90.00
_cell_angle_gamma 90.00
_symmetry_space_group_name_H-M 'I 4/m m m'
_symmetry_Int_Tables_number 139
_symmetry_space_group_name_Hall '-I 4 2'
loop_
_atom_site_label
_atom_site_fract_x
_atom_site_fract_y
_atom_site_fract_z
Ba1 0.000 0.000 0.166
Ac1 0.000 0.000 0.377
Ac2 0.000 0.500 0.000
N1 0.000 0.000 0.500
```

M_tot: 0.00 μB/atom
uncorrected formation energy: -184 meV/atom
total energy: -4.27 eV per atom
ρ: 6.334 g/cm³

=====

2.
A plane-wave DFT calculation with PBE was carried out for a relaxed structure of BaAc2N.

CIF file:
```
data_BaAc2N
_cell_length_a 3.9402
_cell_length_b 3.9402
_cell_length_c 32.0930
_cell_angle_alpha 90.00
_cell_angle_beta 90.00
_cell_angle_gamma 120.00
_symmetry_space_group_name_H-M 'R -3 m'
_symmetry_Int_Tables_number 166
_symmetry_space_group_name_Hall '-R 3 2"'
loop_
_atom_site_label
_atom_site_fract_x
_atom_site_fract_y
_atom_site_fract_z
Ba1 0.0000 0.0000 0.0000
Ac1 0.0000 0.0000 0.2129
N1 0.0000 0.0000 0.5000
```

M_tot: 0.00 μB/atom
uncorrected formation energy: -430 meV/atom
total energy: -5.05 eV per atom
ρ: 6.989 g/cm³

=====

3.
A plane-wave DFT calculation with PBE was carried out for a relaxed structure of BaAcN4.

CIF file:
```
data_BaAcN4
_cell_length_a 7.821
_cell_length_b 4.002
_cell_length_c 7.513
_cell_angle_alpha 90.00
_cell_angle_beta 117.09
_cell_angle_gamma 90.00
_symmetry_space_group_name_H-M 'C 1 2/m 1'
_symmetry_Int_Tables_number 12
loop_
_symmetry_equiv_pos_as_xyz
'x,y,z'
'-x,-y,-z'
'-x,y,-z'
'x,-y,z'
'x+1/2,y+1/2,z'
'-x+1/2,-y+1/2,-z'
'-x+1/2,y+1/2,-z'
'x+1/2,-y+1/2,z'
loop_
_atom_site_label
_atom_site_fract_x
_atom_site_fract_y
_atom_site_fract_z
Ba1 0.000 0.000 0.000
Ac1 0.000 0.500 0.500
N1 0.189 0.000 0.772
N2 0.207 0.500 0.319
```

M_tot: 0.00 μB/atom
uncorrected formation energy: -584 meV/atom
total energy: -7.14 eV per atom
ρ: 6.667 g/cm³

=====

4.
A plane-wave DFT calculation with PBE was carried out for a relaxed structure of BaAcNbN3.

CIF file:
```
data_BaAcNbN3
_cell_length_a 14.498
_cell_length_b 4.177
_cell_length_c 7.917
_cell_angle_alpha 90.00
_cell_angle_beta 105.77
_cell_angle_gamma 90.00
_symmetry_space_group_name_H-M 'C 1 2/m 1'
_symmetry_Int_Tables_number 12
loop_
_symmetry_equiv_pos_as_xyz
'x,y,z'
'-x,-y,-z'
'-x,y,-z'
'x,-y,z'
'x+1/2,y+1/2,z'
'-x+1/2,-y+1/2,-z'
'-x+1/2,y+1/2,-z'
'x+1/2,-y+1/2,z'
loop_
_atom_site_label
_atom_site_fract_x
_atom_site_fract_y
_atom_site_fract_z
Ba1 0.146 0.000 0.072
Ac1 0.155 0.000 0.582
Nb1 0.001 0.500 0.293
N1 0.003 0.000 0.309
N2 0.144 0.500 0.809
N3 0.150 0.500 0.335
```

M_tot: 0.00 μB/atom
uncorrected formation energy: -848 meV/atom
total energy: -7.69 eV per atom
ρ: 7.187 g/cm³

=====

5.
A plane-wave DFT calculation with PBE was carried out for a relaxed structure of BaAc2NbN4.

CIF file:
```
data_BaAc2NbN4
_cell_length_a 3.726
_cell_length_b 13.337
_cell_length_c 13.188
_cell_angle_alpha 90.00
_cell_angle_beta 90.00
_cell_angle_gamma 90.00
_symmetry_space_group_name_H-M 'C m c m'
_symmetry_Int_Tables_number 63
_symmetry_space_group_name_Hall '-C 2c 2'
loop_
_atom_site_label
_atom_site_fract_x
_atom_site_fract_y
_atom_site_fract_z
Ba1 0.000 0.090 0.250
Ac1 0.000 0.370 0.037
Nb1 0.000 0.178 0.750
N1 0.000 0.000 0.000
N2 0.000 0.262 0.631
N3 0.000 0.397 0.250
```

M_tot: 0.00 μB/atom
uncorrected formation energy: -967 meV/atom
total energy: -7.66 eV per atom
ρ: 7.503 g/cm³

=====

6.
A plane-wave DFT calculation with PBE was carried out for a relaxed structure of BaAcNiN2.

CIF file:
```
data_BaAcNiN2
_cell_length_a 5.860
_cell_length_b 5.372
_cell_length_c 7.377
_cell_angle_alpha 90.00
_cell_angle_beta 90.10
_cell_angle_gamma 90.00
_symmetry_space_group_name_H-M 'P 1 2/c 1'
_symmetry_Int_Tables_number 13
loop_
_symmetry_equiv_pos_as_xyz
'x,y,z'
'-x,-y,-z'
'-x,y,-z+1/2'
'x,-y,z+1/2'
loop_
_atom_site_label
_atom_site_fract_x
_atom_site_fract_y
_atom_site_fract_z
Ba1 0.000 0.001 0.250
Ac1 0.500 0.500 0.250
Ni1 0.500 0.000 0.000
N1 0.290 0.251 0.000
```

M_tot: 0.19 μB/atom
uncorrected formation energy: -496 meV/atom
total energy: -6.19 eV per atom
ρ: 6.451 g/cm³

=====

7.
A plane-wave DFT calculation with PBE was carried out for a relaxed structure of BaAcNpN4.

CIF file:
```
data_BaAcNpN4
_cell_length_a 4.313
_cell_length_b 4.313
_cell_length_c 13.403
_cell_angle_alpha 90.00
_cell_angle_beta 90.00
_cell_angle_gamma 90.00
_symmetry_space_group_name_H-M 'I 4 m m'
_symmetry_Int_Tables_number 107
_symmetry_space_group_name_Hall 'I 4 -2'
loop_
_atom_site_label
_atom_site_fract_x
_atom_site_fract_y
_atom_site_fract_z
Ba1 0.000 0.000 0.000
Ac1 0.000 0.000 0.709
Np1 0.000 0.000 0.354
N1 0.000 0.000 0.201
N2 0.000 0.000 0.506
N3 0.000 0.500 0.342
```

M_tot: 0.00 μB/atom
uncorrected formation energy: -1021 meV/atom
total energy: -8.49 eV per atom
ρ: 8.758 g/cm³

=====

8.
A plane-wave DFT calculation with PBE was carried out for a relaxed structure of Ba4Ac3NpN8.

CIF file:
```
data_Ba4Ac3NpN8
_cell_length_a 7.7105
_cell_length_b 7.7105
_cell_length_c 19.3954
_cell_angle_alpha 90.00
_cell_angle_beta 90.00
_cell_angle_gamma 120.00
_symmetry_space_group_name_H-M 'R -3 m'
_symmetry_Int_Tables_number 166
_symmetry_space_group_name_Hall '-R 3 2"'
loop_
_atom_site_label
_atom_site_fract_x
_atom_site_fract_y
_atom_site_fract_z
Ba1 0.0000 0.0000 0.0000
Ba2 0.0000 0.5000 0.0000
Ac1 0.0000 0.5000 0.5000
Np1 0.0000 0.0000 0.5000
N1 0.0000 0.0000 0.2385
N2 0.0551 0.5276 0.2288
```

M_tot: 0.00 μB/atom
uncorrected formation energy: -755 meV/atom
total energy: -6.98 eV per atom
ρ: 7.879 g/cm³

=====

9.
A plane-wave DFT calculation with PBE was carried out for a relaxed structure of Ba2Ac3NpN6.

CIF file:
```
data_Ba2Ac3NpN6
_cell_length_a 6.667
_cell_length_b 11.934
_cell_length_c 6.500
_cell_angle_alpha 90.00
_cell_angle_beta 109.24
_cell_angle_gamma 90.00
_symmetry_space_group_name_H-M 'C 1 2/m 1'
_symmetry_Int_Tables_number 12
loop_
_symmetry_equiv_pos_as_xyz
'x,y,z'
'-x,-y,-z'
'-x,y,-z'
'x,-y,z'
'x+1/2,y+1/2,z'
'-x+1/2,-y+1/2,-z'
'-x+1/2,y+1/2,-z'
'x+1/2,-y+1/2,z'
loop_
_atom_site_label
_atom_site_fract_x
_atom_site_fract_y
_atom_site_fract_z
Ba1 0.000 0.169 0.000
Ac1 0.000 0.000 0.500
Ac2 0.000 0.346 0.500
Np1 0.000 0.500 0.000
N1 0.199 0.377 0.216
N2 0.203 0.500 0.737
```

M_tot: 0.14 μB/atom
uncorrected formation energy: -929 meV/atom
total energy: -7.52 eV per atom
ρ: 8.684 g/cm³

=====

10.
A plane-wave DFT calculation with PBE was carried out for a relaxed structure of BaAcNpN3.

CIF file:
```
data_BaAcNpN3
_cell_length_a 7.226
_cell_length_b 3.794
_cell_length_c 10.412
_cell_angle_alpha 90.00
_cell_angle_beta 102.71
_cell_angle_gamma 90.00
_symmetry_space_group_name_H-M 'P 1 21/m 1'
_symmetry_Int_Tables_number 11
loop_
_symmetry_equiv_pos_as_xyz
'x,y,z'
'-x,-y,-z'
'-x,y+1/2,-z'
'x,-y+1/2,z'
loop_
_atom_site_label
_atom_site_fract_x
_atom_site_fract_y
_atom_site_fract_z
Ba1 0.192 0.250 0.250
Ac1 0.206 0.250 0.609
Np1 0.414 0.750 0.927
N1 0.149 0.750 0.432
N2 0.185 0.750 0.792
N3 0.484 0.750 0.156
```

M_tot: 0.04 μB/atom
uncorrected formation energy: -796 meV/atom
total energy: -8.12 eV per atom
ρ: 7.673 g/cm³

=====

11.
A plane-wave DFT calculation with PBE was carried out for a relaxed structure of Ba2AcNp3N8.

CIF file:
```
data_Ba2AcNp3N8
_cell_length_a 7.0402
_cell_length_b 7.0402
_cell_length_c 18.8612
_cell_angle_alpha 90.00
_cell_angle_beta 90.00
_cell_angle_gamma 120.00
_symmetry_space_group_name_H-M 'R 3 m'
_symmetry_Int_Tables_number 160
_symmetry_space_group_name_Hall 'R 3 -2"'
loop_
_atom_site_label
_atom_site_fract_x
_atom_site_fract_y
_atom_site_fract_z
Ba1 0.0000 0.0000 0.0000
Ba2 0.0000 0.0000 0.3774
Ac1 0.0000 0.0000 0.7783
Np1 0.0009 0.5005 0.8788
N1 0.0000 0.0000 0.1550
N2 0.0000 0.0000 0.6035
N3 0.0447 0.5223 0.1542
N4 0.1903 0.3806 0.9322
```

M_tot: 0.29 μB/atom
uncorrected formation energy: -967 meV/atom
total energy: -9.07 eV per atom
ρ: 8.151 g/cm³

=====

12.
A plane-wave DFT calculation with PBE was carried out for a relaxed structure of Ba2AcNpN4.

CIF file:
```
data_Ba2AcNpN4
_cell_length_a 6.549
_cell_length_b 3.735
_cell_length_c 6.795
_cell_angle_alpha 90.00
_cell_angle_beta 109.53
_cell_angle_gamma 90.00
_symmetry_space_group_name_H-M 'P 1 2/m 1'
_symmetry_Int_Tables_number 10
loop_
_symmetry_equiv_pos_as_xyz
'x,y,z'
'-x,-y,-z'
'-x,y,-z'
'x,-y,z'
loop_
_atom_site_label
_atom_site_fract_x
_atom_site_fract_y
_atom_site_fract_z
Ba1 0.000 0.000 0.000
Ba2 0.500 0.500 0.000
Ac1 0.000 0.500 0.500
Np1 0.500 0.000 0.500
N1 0.293 0.000 0.675
N2 0.304 0.500 0.320
```

M_tot: 0.20 μB/atom
uncorrected formation energy: -853 meV/atom
total energy: -7.63 eV per atom
ρ: 8.425 g/cm³